Record 1
# TaV2CdAu | Alexandria via LeMat-Bulk | PBE-GGA | relaxed
# E_form: 8.0 eV per formula unit
# SG: No. 123
data_TaV2CdAu
_symmetry_space_group_name_H-M 'P 1'
_symmetry_Int_Tables_number 1
_cell_length_a 4.841
_cell_length_b 4.841
_cell_length_c 4.947
_cell_angle_alpha 90.00
_cell_angle_beta 90.00
_cell_angle_gamma 90.00
loop_
_symmetry_equiv_pos_as_xyz
'x,y,z'
loop_
_atom_site_label
_atom_site_type_symbol
_atom_site_fract_x
_atom_site_fract_y
_atom_site_fract_z
Ta1 Ta 0.000 0.000 0.000
V1 V 0.000 0.500 0.500
V2 V 0.500 0.000 0.500
Cd1 Cd 0.500 0.500 0.000
Au1 Au 0.500 0.500 0.500

***

Record 2
# Tb4CdAu | Alexandria via LeMat-Bulk | PBE-GGA | relaxed
# Relative energy among the computed polymorphs: 1.13 eV per formula unit
# E_form: -1.4 eV per formula unit
# SG: No. 14
data_Tb4CdAu
_symmetry_space_group_name_H-M 'P 1'
_symmetry_Int_Tables_number 1
_cell_length_a 6.289
_cell_length_b 9.029
_cell_length_c 6.157
_cell_angle_alpha 90.00
_cell_angle_beta 106.04
_cell_angle_gamma 90.00
loop_
_symmetry_equiv_pos_as_xyz
'x,y,z'
loop_
_atom_site_label
_atom_site_type_symbol
_atom_site_fract_x
_atom_site_fract_y
_atom_site_fract_z
Tb1 Tb 0.106 0.166 0.117
Tb2 Tb 0.106 0.334 0.617
Tb3 Tb 0.382 0.658 0.910
Tb4 Tb 0.382 0.842 0.410
Tb5 Tb 0.618 0.158 0.590
Tb6 Tb 0.618 0.342 0.090
Tb7 Tb 0.894 0.666 0.383
Tb8 Tb 0.894 0.834 0.883
Cd1 Cd 0.500 0.000 0.000
Cd2 Cd 0.500 0.500 0.500
Au1 Au 0.000 0.000 0.500
Au2 Au 0.000 0.500 0.000

***

Record 3
# Tb2CdAu6 | Alexandria via LeMat-Bulk | PBE-GGA | relaxed
# Relative energy among the computed polymorphs: 0.35 eV per formula unit
# E_form: -5.0 eV per formula unit
# SG: No. 65
data_Tb2CdAu6
_symmetry_space_group_name_H-M 'P 1'
_symmetry_Int_Tables_number 1
_cell_length_a 7.569
_cell_length_b 7.569
_cell_length_c 4.057
_cell_angle_alpha 90.00
_cell_angle_beta 90.00
_cell_angle_gamma 123.43
loop_
_symmetry_equiv_pos_as_xyz
'x,y,z'
loop_
_atom_site_label
_atom_site_type_symbol
_atom_site_fract_x
_atom_site_fract_y
_atom_site_fract_z
Tb1 Tb 0.208 0.792 0.000
Tb2 Tb 0.792 0.208 0.000
Cd1 Cd 0.000 0.000 0.500
Au1 Au 0.154 0.449 0.500
Au2 Au 0.296 0.296 0.000
Au3 Au 0.449 0.154 0.500
Au4 Au 0.551 0.846 0.500
Au5 Au 0.704 0.704 0.000
Au6 Au 0.846 0.551 0.500

***

Record 4
# TbCdAu4 | Alexandria via LeMat-Bulk | PBE-GGA | relaxed
# E_form: -1.6 eV per formula unit
# SG: No. 12
data_TbCdAu4
_symmetry_space_group_name_H-M 'P 1'
_symmetry_Int_Tables_number 1
_cell_length_a 4.668
_cell_length_b 4.668
_cell_length_c 6.734
_cell_angle_alpha 90.05
_cell_angle_beta 90.05
_cell_angle_gamma 90.00
loop_
_symmetry_equiv_pos_as_xyz
'x,y,z'
loop_
_atom_site_label
_atom_site_type_symbol
_atom_site_fract_x
_atom_site_fract_y
_atom_site_fract_z
Tb1 Tb 0.000 0.000 0.000
Cd1 Cd 0.500 0.500 0.500
Au1 Au 0.000 0.500 0.266
Au2 Au 0.000 0.500 0.734
Au3 Au 0.500 0.000 0.266
Au4 Au 0.500 0.000 0.734

***

Record 5
# Tb5CdAu4 | Alexandria via LeMat-Bulk | PBE-GGA | relaxed
# E_form: -7.5 eV per formula unit
# SG: No. 123
data_Tb5CdAu4
_symmetry_space_group_name_H-M 'P 1'
_symmetry_Int_Tables_number 1
_cell_length_a 3.631
_cell_length_b 3.631
_cell_length_c 18.314
_cell_angle_alpha 90.00
_cell_angle_beta 90.00
_cell_angle_gamma 90.00
loop_
_symmetry_equiv_pos_as_xyz
'x,y,z'
loop_
_atom_site_label
_atom_site_type_symbol
_atom_site_fract_x
_atom_site_fract_y
_atom_site_fract_z
Tb1 Tb 0.000 0.000 0.000
Tb2 Tb 0.000 0.000 0.197
Tb3 Tb 0.000 0.000 0.392
Tb4 Tb 0.000 0.000 0.608
Tb5 Tb 0.000 0.000 0.803
Cd1 Cd 0.500 0.500 0.500
Au1 Au 0.500 0.500 0.098
Au2 Au 0.500 0.500 0.298
Au3 Au 0.500 0.500 0.702
Au4 Au 0.500 0.500 0.902

***

Record 6
# Tb3Cd2Au8 | Alexandria via LeMat-Bulk | PBE-GGA | relaxed
# E_form: -5.5 eV per formula unit
# SG: No. 166
data_Tb3Cd2Au8
_symmetry_space_group_name_H-M 'P 1'
_symmetry_Int_Tables_number 1
_cell_length_a 11.350
_cell_length_b 11.350
_cell_length_c 11.350
_cell_angle_alpha 28.23
_cell_angle_beta 28.23
_cell_angle_gamma 28.23
loop_
_symmetry_equiv_pos_as_xyz
'x,y,z'
loop_
_atom_site_label
_atom_site_type_symbol
_atom_site_fract_x
_atom_site_fract_y
_atom_site_fract_z
Tb1 Tb 0.000 0.000 0.000
Tb2 Tb 0.190 0.190 0.190
Tb3 Tb 0.810 0.810 0.810
Cd1 Cd 0.365 0.365 0.365
Cd2 Cd 0.635 0.635 0.635
Au1 Au 0.226 0.728 0.728
Au2 Au 0.272 0.272 0.774
Au3 Au 0.272 0.774 0.272
Au4 Au 0.283 0.283 0.283
Au5 Au 0.717 0.717 0.717
Au6 Au 0.728 0.226 0.728
Au7 Au 0.728 0.728 0.226
Au8 Au 0.774 0.272 0.272

***

Record 7
# TbCd2Au2 | Alexandria via LeMat-Bulk | PBE-GGA | relaxed
# Relative energy among the computed polymorphs: 0.00 eV per formula unit
# E_form: -2.3 eV per formula unit
# SG: No. 11
data_TbCd2Au2
_symmetry_space_group_name_H-M 'P 1'
_symmetry_Int_Tables_number 1
_cell_length_a 4.879
_cell_length_b 4.849
_cell_length_c 10.035
_cell_angle_alpha 90.00
_cell_angle_beta 93.24
_cell_angle_gamma 90.00
loop_
_symmetry_equiv_pos_as_xyz
'x,y,z'
loop_
_atom_site_label
_atom_site_type_symbol
_atom_site_fract_x
_atom_site_fract_y
_atom_site_fract_z
Tb1 Tb 0.229 0.250 0.324
Tb2 Tb 0.771 0.750 0.676
Cd1 Cd 0.260 0.250 0.679
Cd2 Cd 0.280 0.250 0.991
Cd3 Cd 0.720 0.750 0.009
Cd4 Cd 0.740 0.750 0.321
Au1 Au 0.231 0.750 0.155
Au2 Au 0.253 0.750 0.511
Au3 Au 0.747 0.250 0.489
Au4 Au 0.769 0.250 0.845

***

Record 8
# Tb4CdAu2 | Alexandria via LeMat-Bulk | PBE-GGA | relaxed
# Relative energy among the computed polymorphs: 0.73 eV per formula unit
# E_form: -2.8 eV per formula unit
# SG: No. 166
data_Tb4CdAu2
_symmetry_space_group_name_H-M 'P 1'
_symmetry_Int_Tables_number 1
_cell_length_a 9.916
_cell_length_b 9.916
_cell_length_c 9.916
_cell_angle_alpha 28.78
_cell_angle_beta 28.78
_cell_angle_gamma 28.78
loop_
_symmetry_equiv_pos_as_xyz
'x,y,z'
loop_
_atom_site_label
_atom_site_type_symbol
_atom_site_fract_x
_atom_site_fract_y
_atom_site_fract_z
Tb1 Tb 0.116 0.116 0.116
Tb2 Tb 0.296 0.296 0.296
Tb3 Tb 0.704 0.704 0.704
Tb4 Tb 0.884 0.884 0.884
Cd1 Cd 0.500 0.500 0.500
Au1 Au 0.400 0.400 0.400
Au2 Au 0.600 0.600 0.600

***

Record 9
# TbCdAu4 | Alexandria via LeMat-Bulk | PBE-GGA | relaxed
# E_form: -2.9 eV per formula unit
# SG: No. 12
data_TbCdAu4
_symmetry_space_group_name_H-M 'P 1'
_symmetry_Int_Tables_number 1
_cell_length_a 5.146
_cell_length_b 5.146
_cell_length_c 6.987
_cell_angle_alpha 108.43
_cell_angle_beta 108.43
_cell_angle_gamma 44.93
loop_
_symmetry_equiv_pos_as_xyz
'x,y,z'
loop_
_atom_site_label
_atom_site_type_symbol
_atom_site_fract_x
_atom_site_fract_y
_atom_site_fract_z
Tb1 Tb 0.000 0.000 0.000
Cd1 Cd 0.000 0.000 0.500
Au1 Au 0.334 0.334 0.665
Au2 Au 0.336 0.336 0.174
Au3 Au 0.664 0.664 0.826
Au4 Au 0.666 0.666 0.335

***

Record 10
# Tb6Cd3Au | Alexandria via LeMat-Bulk | PBE-GGA | relaxed
# E_form: -3.3 eV per formula unit
# SG: No. 11
data_Tb6Cd3Au
_symmetry_space_group_name_H-M 'P 1'
_symmetry_Int_Tables_number 1
_cell_length_a 9.343
_cell_length_b 5.269
_cell_length_c 11.712
_cell_angle_alpha 90.00
_cell_angle_beta 109.92
_cell_angle_gamma 90.00
loop_
_symmetry_equiv_pos_as_xyz
'x,y,z'
loop_
_atom_site_label
_atom_site_type_symbol
_atom_site_fract_x
_atom_site_fract_y
_atom_site_fract_z
Tb1 Tb 0.030 0.250 0.411
Tb2 Tb 0.161 0.750 0.177
Tb3 Tb 0.248 0.250 0.008
Tb4 Tb 0.364 0.750 0.836
Tb5 Tb 0.371 0.250 0.347
Tb6 Tb 0.393 0.250 0.635
Tb7 Tb 0.607 0.750 0.365
Tb8 Tb 0.629 0.750 0.653
Tb9 Tb 0.636 0.250 0.164
Tb10 Tb 0.752 0.750 0.992
Tb11 Tb 0.839 0.250 0.823
Tb12 Tb 0.970 0.750 0.589
Cd1 Cd 0.030 0.750 0.874
Cd2 Cd 0.112 0.250 0.721
Cd3 Cd 0.269 0.750 0.476
Cd4 Cd 0.731 0.250 0.524
Cd5 Cd 0.888 0.750 0.279
Cd6 Cd 0.970 0.250 0.126
Au1 Au 0.432 0.750 0.107
Au2 Au 0.568 0.250 0.893